(1)
Density functional theory data (PBE) for a geometry-optimized YMg2Pt structure.

abc: 4.1216 4.1216 21.5748
angles: 90.00 90.00 90.00
Fractional coordinates of all 16 atoms:
1 Y 0.0000 0.0000 0.0000
2 Y 0.0000 0.5000 0.2500
3 Y 0.5000 0.0000 0.7500
4 Y 0.5000 0.5000 0.5000
5 Mg 0.2269 0.2500 0.6250
6 Mg 0.2500 0.7269 0.8750
7 Mg 0.2500 0.7731 0.3750
8 Mg 0.2731 0.2500 0.1250
9 Mg 0.7269 0.7500 0.1250
10 Mg 0.7500 0.2269 0.3750
11 Mg 0.7500 0.2731 0.8750
12 Mg 0.7731 0.7500 0.6250
13 Pt 0.0000 0.0000 0.5000
14 Pt 0.0000 0.5000 0.7500
15 Pt 0.5000 0.0000 0.2500
16 Pt 0.5000 0.5000 0.0000

Calculated values
N(E_F) ... 10.50 states/eV per cell

***

(2)
Density functional theory data (PBE) for a geometry-optimized YMg2Pt structure.

abc: 3.6851 4.6688 5.4489
angles: 90.00 105.60 90.00
Fractional coordinates of all 4 atoms:
1 Y 0.0000 0.0000 0.0000
2 Mg 0.3556 0.5000 0.7147
3 Mg 0.6444 0.5000 0.2853
4 Pt 0.5000 0.0000 0.5000

Calculated values
N(E_F) ... 3.05 states/eV per cell

***

(3)
Density functional theory data (PBE) for a geometry-optimized YMg2Pt2 structure.

abc: 6.6650 6.6650 8.1330
angles: 90.00 90.00 145.27
Fractional coordinates of all 10 atoms:
1 Y 0.0945 0.9055 0.5000
2 Y 0.9055 0.0945 0.0000
3 Mg 0.1804 0.8196 0.1108
4 Mg 0.3764 0.6236 0.3534
5 Mg 0.6236 0.3764 0.8534
6 Mg 0.8196 0.1804 0.6108
7 Pt 0.2649 0.7351 0.8159
8 Pt 0.4607 0.5393 0.6615
9 Pt 0.5393 0.4607 0.1615
10 Pt 0.7351 0.2649 0.3159

Calculated values
N(E_F) ... 5.21 states/eV per cell

***

Record order is preserved below.
Formation energy from the elements: -0.33 -0.44 -0.87 eV per atom
Record order is preserved below.
Calculated volume: 22.91 22.57 20.58 A^3/atom